A plane-wave DFT calculation with PBE was carried out for crystalline TaAuCl2 at its relaxed geometry.

Calculated values
- polymorph energy (0 for the lowest one) (meV/atom) = 394
- symmetry = No. 44
- magnetization (μB per atom) = 0.191
- E_form (uncorrected) (meV per atom) = -152

Unit cell a=7.5344 b=7.5344 c=7.5344 alpha=157.29 beta=144.36 gamma=42.68
With the nearest neighbours (Å) after each atom.
Positions (direct):
Au (0.3405, 0.8405, 0.5000)  2 Ta 2.79, 2 Au 2.97
Cl (0.9990, 0.9990, 0.0000)  4 Ta 2.75, 2 Cl 2.97
Cl (0.6519, 0.1519, 0.5000)  2 Ta 2.50
Ta (0.5086, 0.5086, 0.0000)  6 Cl 2.50-2.75, 2 Au 2.79

A plane-wave DFT calculation with PBE was carried out for crystalline TaAuCl2 at its relaxed geometry.

Calculated values
- polymorph energy (0 for the lowest one) (meV/atom) = 1103
- symmetry = No. 225
- magnetization (μB per atom) = 0.000
- E_form (uncorrected) (meV per atom) = 557

Unit cell a=4.6372 b=4.6372 c=4.6372 alpha=60.00 beta=60.00 gamma=60.00
With the nearest neighbours (Å) after each atom.
Positions (direct):
Ta (0.5000, 0.5000, 0.5000)  8 Cl 2.84
Au (0.0000, 0.0000, 0.0000)  8 Cl 2.84
Cl (0.2500, 0.2500, 0.2500)  4 Ta 2.84, 4 Au 2.84
Cl (0.7500, 0.7500, 0.7500)  4 Ta 2.84, 4 Au 2.84

A plane-wave DFT calculation with PBE was carried out for crystalline TaAu2Cl at its relaxed geometry.

Calculated values
- polymorph energy (0 for the lowest one) (meV/atom) = 745
- symmetry = No. 139
- magnetization (μB per atom) = 0.000
- E_form (uncorrected) (meV per atom) = 530

Unit cell a=5.4429 b=5.4429 c=5.4429 alpha=137.46 beta=137.46 gamma=61.74
With the nearest neighbours (Å) after each atom.
Positions (direct):
Au (0.5000, 0.5000, 0.0000)  4 Au 2.79, 4 Cl 3.06, 4 Ta 3.06
Au (0.0000, 0.0000, 0.0000)  4 Au 2.79, 4 Ta 3.06, 4 Cl 3.06
Ta (0.7500, 0.2500, 0.5000)  4 Cl 2.79, 8 Au 3.06
Cl (0.2500, 0.7500, 0.5000)  4 Ta 2.79, 8 Au 3.06

A plane-wave DFT calculation with PBE was carried out for crystalline TaAuCl2 at its relaxed geometry.

Calculated values
- polymorph energy (0 for the lowest one) (meV/atom) = 1120
- symmetry = No. 65
- magnetization (μB per atom) = 0.000
- E_form (uncorrected) (meV per atom) = 574

Unit cell a=5.0602 b=5.0602 c=3.0382 alpha=90.00 beta=90.00 gamma=108.22
With the nearest neighbours (Å) after each atom.
Positions (direct):
Cl (0.0000, 0.0000, 0.0000)  4 Au 2.95, 4 Ta 2.95, 4 Cl 2.97-3.04
Cl (0.5000, 0.5000, 0.0000)  4 Ta 2.95, 4 Au 2.95, 4 Cl 2.97-3.04
Ta (0.5000, 0.0000, 0.5000)  8 Cl 2.95, 2 Au 2.97, 2 Ta 3.04
Au (0.0000, 0.5000, 0.5000)  8 Cl 2.95, 2 Ta 2.97, 2 Au 3.04

A plane-wave DFT calculation with PBE was carried out for crystalline TaAu2Cl at its relaxed geometry.

Calculated values
- polymorph energy (0 for the lowest one) (meV/atom) = 304
- symmetry = No. 8
- magnetization (μB per atom) = 0.000
- E_form (uncorrected) (meV per atom) = 90

Unit cell a=4.6703 b=4.6703 c=5.7331 alpha=78.09 beta=78.09 gamma=37.51
With the nearest neighbours (Å) after each atom.
Positions (direct):
Au (0.7438, 0.7438, 0.7547)  5 Au 2.80-3.00, 3 Cl 2.94-3.07, 2 Ta 3.00
Ta (0.2522, 0.2522, 0.2995)  3 Cl 2.54-2.67, 2 Au 2.81
Au (0.9854, 0.9854, 0.0004)  5 Au 2.80-3.00, 2 Ta 2.81, 2 Cl 3.03
Cl (0.5186, 0.5186, 0.4454)  3 Ta 2.54-2.67

A plane-wave DFT calculation with PBE was carried out for crystalline TaAu2Cl at its relaxed geometry.

Calculated values
- polymorph energy (0 for the lowest one) (meV/atom) = 86
- symmetry = No. 44
- magnetization (μB per atom) = 0.000
- E_form (uncorrected) (meV per atom) = -128

Unit cell a=7.6866 b=7.6866 c=7.6866 alpha=158.23 beta=144.48 gamma=42.05
With the nearest neighbours (Å) after each atom.
Positions (direct):
Cl (0.5912, 0.5912, 0.0000)  2 Ta 2.46
Ta (0.7297, 0.2297, 0.5000)  2 Cl 2.46
Au (0.2808, 0.7808, 0.5000)  4 Ta 2.85, 4 Au 2.89-2.90
Au (0.8983, 0.8983, 0.0000)  2 Ta 2.82, 4 Au 2.89-2.90

A plane-wave DFT calculation with PBE was carried out for crystalline TaAuCl2 at its relaxed geometry.

Calculated values
- polymorph energy (0 for the lowest one) (meV/atom) = 948
- symmetry = No. 139
- magnetization (μB per atom) = 0.000
- E_form (uncorrected) (meV per atom) = 402

Unit cell a=5.0573 b=5.0573 c=5.0573 alpha=131.37 beta=131.37 gamma=71.23
With the nearest neighbours (Å) after each atom.
Positions (direct):
Cl (0.5000, 0.5000, 0.0000)  4 Ta 2.93, 4 Au 2.93, 4 Cl 2.95
Au (0.7500, 0.2500, 0.5000)  8 Cl 2.93, 4 Ta 2.95
Ta (0.2500, 0.7500, 0.5000)  8 Cl 2.93, 4 Au 2.95
Cl (0.0000, 0.0000, 0.0000)  4 Ta 2.93, 4 Au 2.93, 4 Cl 2.95

A plane-wave DFT calculation with PBE was carried out for crystalline TaAuCl2 at its relaxed geometry.

Calculated values
- polymorph energy (0 for the lowest one) (meV/atom) = 804
- symmetry = No. 12
- magnetization (μB per atom) = 0.000
- E_form (uncorrected) (meV per atom) = 258

Unit cell a=5.5350 b=5.5250 c=3.0580 alpha=97.33 beta=70.13 gamma=122.30
With the nearest neighbours (Å) after each atom.
Positions (direct):
Cl (0.0000, 0.5000, 0.5000)  2 Au 2.67, 2 Ta 2.67, 2 Cl 2.98
Ta (0.5000, 0.5000, 0.0000)  4 Cl 2.67, 2 Au 2.98
Au (0.5000, 0.0000, 0.5000)  4 Cl 2.67, 2 Ta 2.98
Cl (0.0000, 0.0000, 0.0000)  2 Ta 2.67, 2 Au 2.67, 2 Cl 2.98